Version 1
NbGaCuHg, relaxed, DFT PBE-GGA; total moment = 1.1 Bohr magnetons per cell
1.0
0.000 3.264 3.264
3.264 0.000 3.264
3.264 3.264 0.000
Cu Ga Hg Nb
1 1 1 1
direct
0.750 0.750 0.750 Cu
0.000 0.000 0.000 Ga
0.250 0.250 0.250 Hg
0.500 0.500 0.500 Nb



Version 2
NbGaCuHg, relaxed, DFT PBE-GGA; total moment = 1.1 Bohr magnetons per cell
1.0
0.000 3.247 3.247
3.247 0.000 3.247
3.247 3.247 0.000
Cu Ga Hg Nb
1 1 1 1
direct
0.750 0.750 0.750 Cu
0.000 0.000 0.000 Ga
0.500 0.500 0.500 Hg
0.250 0.250 0.250 Nb



Ranked by calculated energy, most stable first: version 2, version 1.



Version 1
ScGaCuHg, relaxed, DFT PBE-GGA; total moment = 0.0 Bohr magnetons per cell
1.0
0.000 3.285 3.285
3.285 0.000 3.285
3.285 3.285 0.000
Cu Ga Hg Sc
1 1 1 1
direct
0.750 0.750 0.750 Cu
0.000 0.000 0.000 Ga
0.250 0.250 0.250 Hg
0.500 0.500 0.500 Sc



Version 2
ScGaCuHg, relaxed, DFT PBE-GGA; total moment = 0.0 Bohr magnetons per cell
1.0
0.000 3.286 3.286
3.286 0.000 3.286
3.286 3.286 0.000
Cu Ga Hg Sc
1 1 1 1
direct
0.750 0.750 0.750 Cu
0.000 0.000 0.000 Ga
0.500 0.500 0.500 Hg
0.250 0.250 0.250 Sc



Ranked by calculated energy, most stable first: version 2, version 1.



Version 1
TaGaCuHg, relaxed, DFT PBE-GGA; total moment = 0.8 Bohr magnetons per cell
1.0
-4.502 0.281 0.943
-2.586 3.221 -2.044
-3.102 -1.214 -3.185
Cu Ga Hg Ta
1 1 1 1
direct
0.750 0.750 0.750 Cu
0.000 0.000 0.000 Ga
0.250 0.250 0.250 Hg
0.500 0.500 0.500 Ta



Version 2
TaGaCuHg, relaxed, DFT PBE-GGA; total moment = 0.0 Bohr magnetons per cell
1.0
-4.147 0.327 1.944
-3.546 1.634 -2.417
-3.379 -2.819 -1.311
Cu Ga Hg Ta
1 1 1 1
direct
0.750 0.750 0.750 Cu
0.000 0.000 0.000 Ga
0.500 0.500 0.500 Hg
0.250 0.250 0.250 Ta



Ranked by calculated energy, most stable first: version 2, version 1.



Version 1
LaGa2CuIr, relaxed, DFT PBE-GGA; total moment = 0.0 Bohr magnetons per cell
1.0
4.311 0.000 0.000
0.000 4.311 0.000
0.000 0.000 10.102
Cu Ga Ir La
2 4 2 2
direct
0.000 0.500 0.371 Cu
0.500 0.000 0.629 Cu
0.000 0.500 0.128 Ga
0.000 0.000 0.500 Ga
0.500 0.500 0.500 Ga
0.500 0.000 0.872 Ga
0.000 0.000 0.000 Ir
0.500 0.500 0.000 Ir
0.500 0.000 0.244 La
0.000 0.500 0.756 La



Version 2
LaGa2CuIr, relaxed, DFT PBE-GGA; total moment = 0.0 Bohr magnetons per cell
1.0
5.553 1.188 1.819
1.209 -0.255 5.834
-2.660 -3.411 -4.105
Cu Ga Ir La
1 2 1 1
direct
0.000 0.000 0.000 Cu
0.622 0.122 0.500 Ga
0.878 0.378 0.500 Ga
0.500 0.500 0.000 Ir
0.250 0.750 0.500 La



Ranked by calculated energy, most stable first: version 1, version 2.



Version 1
LuGaCuIr, relaxed, DFT PBE-GGA; total moment = 0.0 Bohr magnetons per cell
1.0
2.195 -2.316 3.284
-2.361 -2.602 2.936
0.303 -4.563 -0.229
Cu Ga Ir Lu
1 1 1 1
direct
0.750 0.750 0.750 Cu
0.000 0.000 0.000 Ga
0.500 0.500 0.500 Ir
0.250 0.250 0.250 Lu



Version 2
LuGaCuIr, relaxed, DFT PBE-GGA; total moment = 0.0 Bohr magnetons per cell
1.0
0.000 3.200 3.200
3.200 0.000 3.200
3.200 3.200 0.000
Cu Ga Ir Lu
1 1 1 1
direct
0.750 0.750 0.750 Cu
0.000 0.000 0.000 Ga
0.250 0.250 0.250 Ir
0.500 0.500 0.500 Lu



Ranked by calculated energy, most stable first: version 2, version 1.



Version 1
TaGaCuIr, relaxed, DFT PBE-GGA; total moment = 0.0 Bohr magnetons per cell
1.0
2.603 -3.335 -0.997
1.234 -2.793 3.093
-1.563 -4.056 0.015
Cu Ga Ir Ta
1 1 1 1
direct
0.750 0.750 0.750 Cu
0.250 0.250 0.250 Ga
0.000 0.000 0.000 Ir
0.500 0.500 0.500 Ta



Version 2
TaGaCuIr, relaxed, DFT PBE-GGA; total moment = 0.0 Bohr magnetons per cell
1.0
-2.427 -0.634 3.599
0.329 2.773 3.384
-3.305 2.733 0.927
Cu Ga Ir Ta
1 1 1 1
direct
0.750 0.750 0.750 Cu
0.000 0.000 0.000 Ga
0.250 0.250 0.250 Ir
0.500 0.500 0.500 Ta



Version 3
TaGaCuIr, relaxed, DFT PBE-GGA; total moment = 0.0 Bohr magnetons per cell
1.0
0.000 3.103 3.103
3.103 0.000 3.103
3.103 3.103 0.000
Cu Ga Ir Ta
1 1 1 1
direct
0.750 0.750 0.750 Cu
0.500 0.500 0.500 Ga
0.000 0.000 0.000 Ir
0.250 0.250 0.250 Ta



Ranked by calculated energy, most stable first: version 2, version 3, version 1.



Version 1
YGaCuIr, relaxed, DFT PBE-GGA; total moment = 0.0 Bohr magnetons per cell
1.0
2.713 1.591 3.364
-0.883 -1.099 4.384
2.795 -2.879 2.260
Cu Ga Ir Y
1 1 1 1
direct
0.750 0.750 0.750 Cu
0.000 0.000 0.000 Ga
0.250 0.250 0.250 Ir
0.500 0.500 0.500 Y



Version 2
YGaCuIr, relaxed, DFT PBE-GGA; total moment = 0.0 Bohr magnetons per cell
1.0
0.000 3.280 3.280
3.280 0.000 3.280
3.280 3.280 0.000
Cu Ga Ir Y
1 1 1 1
direct
0.750 0.750 0.750 Cu
0.000 0.000 0.000 Ga
0.500 0.500 0.500 Ir
0.250 0.250 0.250 Y



Ranked by calculated energy, most stable first: version 1, version 2.



Version 1
LaGa2CuNi, relaxed, DFT PBE-GGA; total moment = 0.0 Bohr magnetons per cell
1.0
4.282 0.000 0.000
0.000 4.282 0.000
0.000 0.000 9.922
Cu Ga La Ni
2 4 2 2
direct
0.000 0.500 0.366 Cu
0.500 0.000 0.634 Cu
0.000 0.500 0.115 Ga
0.000 0.000 0.500 Ga
0.500 0.500 0.500 Ga
0.500 0.000 0.885 Ga
0.500 0.000 0.241 La
0.000 0.500 0.759 La
0.000 0.000 0.000 Ni
0.500 0.500 0.000 Ni



Version 2
LaGa2CuNi, relaxed, DFT PBE-GGA; total moment = 0.0 Bohr magnetons per cell
1.0
-2.643 -2.190 2.574
3.380 -1.736 1.993
0.057 7.488 6.428
Cu Ga La Ni
2 4 2 2
direct
0.000 0.000 0.000 Cu
0.500 0.500 0.000 Cu
0.500 0.000 0.130 Ga
0.000 0.000 0.500 Ga
0.500 0.500 0.500 Ga
0.000 0.500 0.870 Ga
0.000 0.500 0.252 La
0.500 0.000 0.748 La
0.500 0.000 0.374 Ni
0.000 0.500 0.626 Ni



Ranked by calculated energy, most stable first: version 2, version 1.



Version 1
LaGaCuNiSn, relaxed, DFT PBE-GGA; total moment = 0.0 Bohr magnetons per cell
1.0
4.394 0.000 0.000
0.000 4.394 0.000
0.000 0.000 10.098
Cu Ga La Ni Sn
2 2 2 2 2
direct
0.000 0.000 0.000 Cu
0.500 0.500 0.000 Cu
0.500 0.000 0.124 Ga
0.000 0.500 0.876 Ga
0.000 0.500 0.235 La
0.500 0.000 0.765 La
0.500 0.000 0.360 Ni
0.000 0.500 0.640 Ni
0.000 0.000 0.500 Sn
0.500 0.500 0.500 Sn



Version 2
LaGaCuNiSn, relaxed, DFT PBE-GGA; total moment = 0.0 Bohr magnetons per cell
1.0
-1.586 -1.914 -3.653
3.847 -2.097 -0.572
-3.397 -7.737 5.527
Cu Ga La Ni Sn
2 2 2 2 2
direct
0.000 0.000 0.000 Cu
0.500 0.500 0.000 Cu
0.000 0.000 0.500 Ga
0.500 0.500 0.500 Ga
0.000 0.500 0.257 La
0.500 0.000 0.743 La
0.500 0.000 0.395 Ni
0.000 0.500 0.605 Ni
0.500 0.000 0.145 Sn
0.000 0.500 0.855 Sn



Ranked by calculated energy, most stable first: version 2, version 1.



Version 1
LiLuGaCu, relaxed, DFT PBE-GGA; total moment = 0.0 Bohr magnetons per cell
1.0
-2.032 -2.647 3.061
-3.769 1.417 2.072
-3.979 -1.935 -0.966
Cu Ga Li Lu
1 1 1 1
direct
0.750 0.750 0.750 Cu
0.000 0.000 0.000 Ga
0.500 0.500 0.500 Li
0.250 0.250 0.250 Lu



Version 2
LiLuGaCu, relaxed, DFT PBE-GGA; total moment = 0.0 Bohr magnetons per cell
1.0
1.775 -1.691 3.755
-1.573 -3.845 1.690
2.502 -3.718 -0.179
Cu Ga Li Lu
1 1 1 1
direct
0.750 0.750 0.750 Cu
0.000 0.000 0.000 Ga
0.250 0.250 0.250 Li
0.500 0.500 0.500 Lu



Ranked by calculated energy, most stable first: version 2, version 1.



Version 1
LiGaCuMo, relaxed, DFT PBE-GGA; total moment = 2.1 Bohr magnetons per cell
1.0
-2.942 -1.053 -2.901
-3.161 2.712 -0.912
-0.082 1.987 -3.771
Cu Ga Li Mo
1 1 1 1
direct
0.750 0.750 0.750 Cu
0.000 0.000 0.000 Ga
0.250 0.250 0.250 Li
0.500 0.500 0.500 Mo



Version 2
LiGaCuMo, relaxed, DFT PBE-GGA; total moment = 1.5 Bohr magnetons per cell
1.0
0.000 3.020 3.020
3.020 0.000 3.020
3.020 3.020 0.000
Cu Ga Li Mo
1 1 1 1
direct
0.750 0.750 0.750 Cu
0.000 0.000 0.000 Ga
0.500 0.500 0.500 Li
0.250 0.250 0.250 Mo



Ranked by calculated energy, most stable first: version 2, version 1.



Version 1
LiGaCuRe, relaxed, DFT PBE-GGA; total moment = 0.7 Bohr magnetons per cell
1.0
-3.310 -0.932 2.430
-3.901 0.279 -1.559
-2.230 -3.496 -0.730
Cu Ga Li Re
1 1 1 1
direct
0.750 0.750 0.750 Cu
0.000 0.000 0.000 Ga
0.500 0.500 0.500 Li
0.250 0.250 0.250 Re



Version 2
LiGaCuRe, relaxed, DFT PBE-GGA; total moment = 1.6 Bohr magnetons per cell
1.0
-1.193 -0.663 3.979
-1.588 3.163 2.274
-4.085 0.025 1.003
Cu Ga Li Re
1 1 1 1
direct
0.750 0.750 0.750 Cu
0.000 0.000 0.000 Ga
0.250 0.250 0.250 Li
0.500 0.500 0.500 Re



Ranked by calculated energy, most stable first: version 1, version 2.



Version 1
LiGaCuTc, relaxed, DFT PBE-GGA; total moment = 0.8 Bohr magnetons per cell
1.0
0.000 2.968 2.968
2.968 0.000 2.968
2.968 2.968 0.000
Cu Ga Li Tc
1 1 1 1
direct
0.750 0.750 0.750 Cu
0.000 0.000 0.000 Ga
0.500 0.500 0.500 Li
0.250 0.250 0.250 Tc



Version 2
LiGaCuTc, relaxed, DFT PBE-GGA; total moment = 1.3 Bohr magnetons per cell
1.0
-0.450 -3.373 2.467
-2.834 0.030 3.104
-3.460 -2.369 -0.290
Cu Ga Li Tc
1 1 1 1
direct
0.750 0.750 0.750 Cu
0.000 0.000 0.000 Ga
0.250 0.250 0.250 Li
0.500 0.500 0.500 Tc



Ranked by calculated energy, most stable first: version 1, version 2.



Version 1
LuMgGaCu, relaxed, DFT PBE-GGA; total moment = 0.0 Bohr magnetons per cell
1.0
0.000 3.311 3.311
3.311 0.000 3.311
3.311 3.311 0.000
Cu Ga Lu Mg
1 1 1 1
direct
0.750 0.750 0.750 Cu
0.000 0.000 0.000 Ga
0.250 0.250 0.250 Lu
0.500 0.500 0.500 Mg



Version 2
LuMgGaCu, relaxed, DFT PBE-GGA; total moment = 0.0 Bohr magnetons per cell
1.0
0.000 3.313 3.313
3.313 0.000 3.313
3.313 3.313 0.000
Cu Ga Lu Mg
1 1 1 1
direct
0.750 0.750 0.750 Cu
0.000 0.000 0.000 Ga
0.500 0.500 0.500 Lu
0.250 0.250 0.250 Mg



Ranked by calculated energy, most stable first: version 2, version 1.